{
  "formula": "GePd3Se2",
  "functional": "PBE",
  "state": "relaxed",
  "formation_energy_uncorrected_mev_per_atom": -220,
  "dos_ef_per_ev_atom": 0.400,
  "lattice": [[6.7361, 0.0000, -0.1924], [3.3680, 5.5626, -0.0962], [2.1830, 0.0000, 5.7988]],
  "species": ["Ge", "Ge", "Pd", "Pd", "Pd", "Pd", "Pd", "Pd", "Se", "Se", "Se", "Se"],
  "frac_coords": [[0.6716, 0.6568, 0.0000], [0.3284, 0.3432, 0.0000], [0.4348, 0.6434, 0.7715], [0.2853, 0.0000, 0.2133], [0.5652, 0.3566, 0.2285], [0.9217, 0.6434, 0.2285], [0.0783, 0.3566, 0.7715], [0.7147, 0.0000, 0.7867], [0.0000, 0.0000, 0.0000], [0.5000, 0.0000, 0.5000], [0.1661, 0.6677, 0.5000], [0.8339, 0.3323, 0.5000]]
}